Density functional theory data (PBE) for a relaxed MnHg3 crystal.

Lattice parameters (Å, degrees): 3.3023 3.3023 27.9586 90.00 90.00 120.00
Space group R-3m (No. 166, hexagonal axes)
Inequivalent atoms, fractional coordinates:
1 Mn 0.0000 0.0000 0.0000 [3 per cell]
2 Hg 0.0000 0.0000 0.2579 [6 per cell]
3 Hg 0.0000 0.0000 0.5000 [3 per cell]

Computed properties:
DFT formation energy (eV per atom): 0.260

=====

Density functional theory data (PBE) for a relaxed MnHg7 crystal.

Lattice parameters (Å, degrees): 9.1171 9.1171 9.1171 90.00 90.00 90.00
Space group Fm-3m (No. 225)
Inequivalent atoms, fractional coordinates:
1 Mn 0.0000 0.0000 0.0000 [4 per cell]
2 Hg 0.0000 0.0000 0.5000 [4 per cell]
3 Hg 0.0000 0.2500 0.2500 [24 per cell]

Computed properties:
DFT formation energy (eV per atom): 0.205

=====

Density functional theory data (PBE) for a relaxed MnHg crystal.

Lattice parameters (Å, degrees): 3.0585 3.0585 10.1103 90.00 90.00 120.00
Space group P6_3mc (No. 186)
Inequivalent atoms, fractional coordinates:
1 Mn 0.3333 0.6667 0.0000 [2 per cell]
2 Hg 0.3333 0.6667 0.7277 [2 per cell]

Computed properties:
Energy above the most stable polymorph in this dataset (kJ per mole of atoms): 26.6
DFT formation energy (eV per atom): 0.599

=====

Density functional theory data (PBE) for a relaxed Mn3Hg crystal.

Lattice parameters (Å, degrees): 2.9170 2.9170 8.5054 90.00 90.00 120.00
Space group P-6m2 (No. 187)
Inequivalent atoms, fractional coordinates:
1 Mn 0.0000 0.0000 0.0000 [1 per cell]
2 Mn 0.3333 0.6667 0.2170 [2 per cell]
3 Hg 0.0000 0.0000 0.5000 [1 per cell]

Computed properties:
DFT formation energy (eV per atom): 0.435

=====

Density functional theory data (PBE) for a relaxed MnHg crystal.

Lattice parameters (Å, degrees): 4.7241 3.1638 15.0740 90.00 90.00 90.00
Space group Amm2 (No. 38)
Inequivalent atoms, fractional coordinates:
1 Mn 0.0000 0.0000 0.0000 [2 per cell]
2 Mn 0.0000 0.0000 0.3461 [2 per cell]
3 Mn 0.5000 0.0000 0.5510 [2 per cell]
4 Hg 0.0000 0.0000 0.6566 [2 per cell]
5 Hg 0.5000 0.0000 0.2238 [2 per cell]
6 Hg 0.5000 0.0000 0.8973 [2 per cell]

Computed properties:
Energy above the most stable polymorph in this dataset (kJ per mole of atoms): 9.5
DFT formation energy (eV per atom): 0.422

=====

Density functional theory data (PBE) for a relaxed MnHg3 crystal.

Lattice parameters (Å, degrees): 8.0739 8.6245 5.1914 90.00 90.00 90.00
Space group Pnma (No. 62)
Inequivalent atoms, fractional coordinates:
1 Mn 0.1433 0.2500 0.0637 [4 per cell]
2 Hg 0.0104 0.7500 0.4243 [4 per cell]
3 Hg 0.1689 0.5658 0.9199 [8 per cell]

Computed properties:
DFT formation energy (eV per atom): 0.243

=====

Among the records above, which one has the lowest DFT formation energy?
MnHg7